(1)
VRePt2 (PBE-GGA, optimized geometry); energy above the most stable polymorph in this dataset = 0.00 eV per formula unit
1.0
0.0000 3.1310 3.1310
3.1310 0.0000 3.1310
3.1310 3.1310 0.0000
V Re Pt
1 1 2
direct
0.0000 0.0000 0.0000
0.5000 0.5000 0.5000
0.2500 0.2500 0.2500
0.7500 0.7500 0.7500

(2)
Here is crystalline V4Re2Pt at its relaxed geometry from Alexandria via LeMat-Bulk. Energies are from PBE-GGA.

```
V4Re2Pt
1.0
-2.2845 2.2845 6.2035
2.2845 -2.2845 6.2035
2.2845 2.2845 -6.2035
V Re Pt
4 2 1
direct
0.0000 0.5000 0.5000
0.2025 0.2025 0.0000
0.5000 0.0000 0.5000
0.7975 0.7975 0.0000
0.3874 0.3874 0.0000
0.6126 0.6126 0.0000
0.0000 0.0000 0.0000
```

(3)
Here is crystalline V2RePt at its relaxed geometry from Alexandria via LeMat-Bulk. Energies are from PBE-GGA.

```
V2RePt
1.0
3.1254 0.0000 0.0000
0.0000 3.1254 0.0000
0.0000 0.0000 5.8854
V Re Pt
2 1 1
direct
0.0000 0.0000 0.2374
0.0000 0.0000 0.7626
0.5000 0.5000 0.0000
0.5000 0.5000 0.5000
```

(4)
VRe2Pt (PBE-GGA, optimized geometry); energy above the most stable polymorph in this dataset = 2.76 eV per formula unit
1.0
-1.8843 1.8843 9.2273
1.8843 -1.8843 9.2273
1.8843 1.8843 -9.2273
V Re Pt
2 4 2
direct
0.0000 0.0000 0.0000
0.7500 0.2500 0.5000
0.0876 0.6250 0.9626
0.3750 0.3376 0.4626
0.6624 0.1250 0.0374
0.8750 0.9124 0.5374
0.2500 0.7500 0.5000
0.5000 0.5000 0.0000

(5)
VRe3Pt (PBE-GGA, optimized geometry); energy above the most stable polymorph in this dataset = 0.00 eV per formula unit
1.0
4.4370 0.0000 0.0000
0.0000 4.4370 0.0000
0.0000 0.0000 4.4370
V Re Pt
1 3 1
direct
0.0000 0.0000 0.0000
0.0000 0.0000 0.5000
0.0000 0.5000 0.0000
0.5000 0.0000 0.0000
0.5000 0.5000 0.5000

(6)
Here is crystalline V2RePt at its relaxed geometry from Alexandria via LeMat-Bulk. Energies are from PBE-GGA.

```
V2RePt
1.0
4.0584 0.0000 0.0000
0.0000 4.0584 0.0000
0.0000 0.0000 3.4751
V Re Pt
2 1 1
direct
0.0000 0.5000 0.0000
0.5000 0.0000 0.0000
0.0000 0.0000 0.5000
0.5000 0.5000 0.5000
```

(7)
VRe2Pt (PBE-GGA, optimized geometry); energy above the most stable polymorph in this dataset = 1.66 eV per formula unit
1.0
0.0000 3.1001 3.1001
3.1001 0.0000 3.1001
3.1001 3.1001 0.0000
V Re Pt
1 2 1
direct
0.0000 0.0000 0.0000
0.2500 0.2500 0.2500
0.7500 0.7500 0.7500
0.5000 0.5000 0.5000

(8)
VRe2Pt (PBE-GGA, optimized geometry); energy above the most stable polymorph in this dataset = 0.00 eV per formula unit
1.0
3.8419 0.0000 0.0000
0.0000 3.8419 0.0000
0.0000 0.0000 3.9607
V Re Pt
1 2 1
direct
0.0000 0.0000 0.0000
0.0000 0.5000 0.5000
0.5000 0.0000 0.5000
0.5000 0.5000 0.0000

(9)
Here is crystalline V2RePt at its relaxed geometry from Alexandria via LeMat-Bulk. Energies are from PBE-GGA.

```
V2RePt
1.0
-3.4266 3.4266 2.6652
3.4266 -3.4266 2.6652
3.4266 3.4266 -2.6652
V Re Pt
4 2 2
direct
0.1163 0.6250 0.9913
0.3750 0.3663 0.4913
0.6337 0.1250 0.0087
0.8750 0.8837 0.5087
0.0000 0.0000 0.0000
0.7500 0.2500 0.5000
0.2500 0.7500 0.5000
0.5000 0.5000 0.0000
```

(10)
RePt2W2 (PBE-GGA, optimized geometry); energy above the most stable polymorph in this dataset = 2.20 eV per formula unit
1.0
-1.8138 1.8138 6.4757
1.8138 -1.8138 6.4757
1.8138 1.8138 -6.4757
Re Pt W
1 2 2
direct
0.0000 0.0000 0.0000
0.4035 0.4035 0.0000
0.5965 0.5965 0.0000
0.2500 0.7500 0.5000
0.7500 0.2500 0.5000

(11)
RePtW (PBE-GGA, optimized geometry); energy above the most stable polymorph in this dataset = 0.31 eV per formula unit
1.0
-1.3381 2.0573 4.2203
1.3381 -2.0573 4.2203
1.3381 2.0573 -4.2203
Re Pt W
1 1 1
direct
0.0000 0.0000 0.0000
0.3336 0.3336 0.0000
0.6639 0.6639 0.0000

(12)
RePt2W (PBE-GGA, optimized geometry); energy above the most stable polymorph in this dataset = 0.13 eV per formula unit
1.0
0.0000 2.7347 4.1148
2.7290 0.0000 4.1148
2.7290 2.7347 0.0000
Re Pt W
1 2 1
direct
0.0000 0.0000 0.0000
0.2500 0.2500 0.2500
0.7500 0.7500 0.7500
0.5000 0.5000 0.5000

(13)
RePt2W (PBE-GGA, optimized geometry); energy above the most stable polymorph in this dataset = 0.04 eV per formula unit
1.0
4.6462 -1.3624 0.0000
4.6462 1.3624 0.0000
-0.7402 0.0000 4.8739
Re Pt W
1 2 1
direct
0.0000 0.0000 0.0000
0.5056 0.5056 0.5015
0.7442 0.7442 0.2359
0.2518 0.2518 0.7411

(14)
RePtW (PBE-GGA, optimized geometry); energy above the most stable polymorph in this dataset = 0.54 eV per formula unit
1.0
4.5071 0.0000 0.0000
-2.2536 3.9033 0.0000
0.0000 0.0000 2.6739
Re Pt W
1 1 1
direct
0.0000 0.0000 0.0000
0.3333 0.6667 0.5000
0.6667 0.3333 0.4979

(15)
RePtW (PBE-GGA, optimized geometry); energy above the most stable polymorph in this dataset = 1.01 eV per formula unit
1.0
9.5416 0.0000 0.0000
0.0000 2.6746 0.0000
0.0000 0.0000 7.5221
Re Pt W
4 4 4
direct
0.1208 0.2500 0.0723
0.3792 0.7500 0.5723
0.6208 0.2500 0.4277
0.8792 0.7500 0.9277
0.1238 0.7500 0.7473
0.3762 0.2500 0.2473
0.6238 0.7500 0.7527
0.8762 0.2500 0.2527
0.1308 0.2500 0.4248
0.3692 0.7500 0.9248
0.6308 0.2500 0.0752
0.8692 0.7500 0.5752

(16)
RePt2W2 (PBE-GGA, optimized geometry); energy above the most stable polymorph in this dataset = 0.00 eV per formula unit
1.0
7.6901 0.0000 0.0000
0.0000 7.6901 0.0000
0.0000 0.0000 2.7379
Re Pt W
2 4 4
direct
0.0000 0.0000 0.0000
0.5000 0.5000 0.0000
0.1233 0.3767 0.0000
0.3767 0.8767 0.0000
0.6233 0.1233 0.0000
0.8767 0.6233 0.0000
0.1752 0.6752 0.5000
0.3248 0.1752 0.5000
0.6752 0.8248 0.5000
0.8248 0.3248 0.5000

(17)
RePtW (PBE-GGA, optimized geometry); energy above the most stable polymorph in this dataset = 0.87 eV per formula unit
1.0
-1.6525 1.6525 4.3543
1.6525 -1.6525 4.3543
1.6525 1.6525 -4.3543
Re Pt W
1 1 1
direct
0.0000 0.0000 0.0000
0.6799 0.6799 0.0000
0.3517 0.3517 0.0000

(18)
RePt2W (PBE-GGA, optimized geometry); energy above the most stable polymorph in this dataset = 0.19 eV per formula unit
1.0
2.7316 -4.1186 0.0000
2.7316 4.1186 0.0000
0.0000 0.0000 2.7313
Re Pt W
1 2 1
direct
0.0000 0.0000 0.0000
0.0000 0.5000 0.5000
0.5000 0.0000 0.5000
0.5000 0.5000 0.0000

(19)
RePt2W (PBE-GGA, optimized geometry); energy above the most stable polymorph in this dataset = 0.43 eV per formula unit
1.0
1.3936 0.8046 9.2386
-1.3936 0.8046 9.2386
0.0000 -1.6092 9.2386
Re Pt W
1 2 1
direct
0.0000 0.0000 0.0000
0.2527 0.2527 0.2527
0.4990 0.4990 0.4990
0.7511 0.7511 0.7511

(20)
RePt2W (PBE-GGA, optimized geometry); energy above the most stable polymorph in this dataset = 0.07 eV per formula unit
1.0
2.7697 0.0000 0.0000
0.0000 2.7697 0.0000
0.0000 0.0000 8.1147
Re Pt W
1 2 1
direct
0.0000 0.0000 0.0000
0.0000 0.0000 0.4961
0.5000 0.5000 0.7684
0.5000 0.5000 0.2609

Number 1: Fermi-level density of states 7.8 states/eV per cell, formation enthalpy at 0 K 0.180 eV per atom. Number 2: Fermi-level density of states 12.0 states/eV per cell, formation enthalpy at 0 K 1.162 eV per atom. Number 3: Fermi-level density of states 5.7 states/eV per cell, formation enthalpy at 0 K -0.313 eV per atom. Number 4: Fermi-level density of states 8.3 states/eV per cell, formation enthalpy at 0 K 0.473 eV per atom. Number 5: Fermi-level density of states 5.4 states/eV per cell, formation enthalpy at 0 K 1.592 eV per atom. Number 6: Fermi-level density of states 5.6 states/eV per cell, formation enthalpy at 0 K -0.300 eV per atom. Number 7: Fermi-level density of states 6.6 states/eV per cell, formation enthalpy at 0 K 0.196 eV per atom. Number 8: Fermi-level density of states 2.2 states/eV per cell, formation enthalpy at 0 K -0.217 eV per atom. Number 9: Fermi-level density of states 12.9 states/eV per cell, formation enthalpy at 0 K 0.353 eV per atom. Number 10: Fermi-level density of states 3.2 states/eV per cell, formation enthalpy at 0 K 0.636 eV per atom. Number 11: Fermi-level density of states 2.5 states/eV per cell, formation enthalpy at 0 K -0.038 eV per atom. Number 12: Fermi-level density of states 3.9 states/eV per cell, formation enthalpy at 0 K -0.103 eV per atom. Number 13: Fermi-level density of states 2.6 states/eV per cell, formation enthalpy at 0 K -0.126 eV per atom. Number 14: Fermi-level density of states 2.9 states/eV per cell, formation enthalpy at 0 K 0.037 eV per atom. Number 15: Fermi-level density of states 8.3 states/eV per cell, formation enthalpy at 0 K 0.194 eV per atom. Number 16: Fermi-level density of states 6.3 states/eV per cell, formation enthalpy at 0 K 0.196 eV per atom. Number 17: Fermi-level density of states 3.6 states/eV per cell, formation enthalpy at 0 K 0.149 eV per atom. Number 18: Fermi-level density of states 3.4 states/eV per cell, formation enthalpy at 0 K -0.088 eV per atom. Number 19: Fermi-level density of states 5.2 states/eV per cell, formation enthalpy at 0 K -0.030 eV per atom. Number 20: Fermi-level density of states 4.2 states/eV per cell, formation enthalpy at 0 K -0.119 eV per atom.